# TiAlAu

A geometry-optimized TiAlAu structure (PBE, the Alexandria database).

Summary:
Space group ... C2/m (12)
Volume ... 16.9 Å³ per atom
DFT formation energy ... -0.41 eV per atom
Magnetization ... 0.0000 μB/atom

a b c (Å): 11.077 3.136 7.235
angles (deg): 90.00 126.24 90.00
Fractional coordinates of all 12 atoms:
Ti 0.112 0.000 0.354
Ti 0.388 0.500 0.646
Ti 0.612 0.500 0.354
Ti 0.888 0.000 0.646
Al 0.131 0.500 0.686
Al 0.369 0.000 0.314
Al 0.631 0.000 0.686
Al 0.869 0.500 0.314
Au 0.145 0.500 0.058
Au 0.355 0.000 0.942
Au 0.645 0.000 0.058
Au 0.855 0.500 0.942